Below is crystalline GdInRh2 at its relaxed geometry, with properties calculated at the PBE level.

Unit cell a=4.5493 b=4.5493 c=3.5804 alpha=90.00 beta=90.00 gamma=90.00
Last column: nearest neighbours and their distance in Å.
Space group P4/mmm (No. 123)
Unique sites:
Gd: 0.0000 0.0000 0.0000 (multiplicity 1)  8 Rh 2.89, 4 In 3.22
In: 0.5000 0.5000 0.0000 (multiplicity 1)  8 Rh 2.89, 4 Gd 3.22
Rh: 0.0000 0.5000 0.5000 (multiplicity 2)  4 In 2.89, 4 Gd 2.89, 4 Rh 3.22

Values from the calculation:
For the total magnetic moment, the calculation gives 6.99 μB/f.u. For the energy relative to the elements, the calculation gives -16.55 kcal/mol of atoms. As for the raw total energy: -34.4 eV per cell.

Below is crystalline K2CaBr at its relaxed geometry, with properties calculated at the PBE level.

Unit cell a=11.8931 b=11.8931 c=5.9703 alpha=90.00 beta=90.00 gamma=90.00
Last column: nearest neighbours and their distance in Å.
Space group I-42d (No. 122)
Unique sites:
K: 0.1319 0.2500 0.1250 (multiplicity 8)  2 Br 3.44
Ca: 0.0000 0.0000 0.5000 (multiplicity 4)  2 Br 2.99
Br: 0.0000 0.0000 0.0000 (multiplicity 4)  2 Ca 2.99

Values from the calculation:
For the total magnetic moment, the calculation gives 0.00 μB/f.u. As for the excess energy over the best structure of this formula in the dataset: 0.1872 eV/atom. As for the raw total energy: -32.2 eV per cell.

Copy entry 1 word for word.
Below is crystalline GdInRh2 at its relaxed geometry, with properties calculated at the PBE level.

Unit cell a=4.5493 b=4.5493 c=3.5804 alpha=90.00 beta=90.00 gamma=90.00
Last column: nearest neighbours and their distance in Å.
Space group P4/mmm (No. 123)
Unique sites:
Gd: 0.0000 0.0000 0.0000 (multiplicity 1)  8 Rh 2.89, 4 In 3.22
In: 0.5000 0.5000 0.0000 (multiplicity 1)  8 Rh 2.89, 4 Gd 3.22
Rh: 0.0000 0.5000 0.5000 (multiplicity 2)  4 In 2.89, 4 Gd 2.89, 4 Rh 3.22

Values from the calculation:
For the total magnetic moment, the calculation gives 6.99 μB/f.u. For the energy relative to the elements, the calculation gives -16.55 kcal/mol of atoms. As for the raw total energy: -34.4 eV per cell.

Which value of raw total energy does entry 2 give?
-32.2 eV per cell